This record from the Open Quantum Materials Database describes an optimized crystal structure of Cs2Fe. The functional is PBE.

## Properties
final energy = -2.2620 eV per atom
spin magnetization = 2.725 μB per cell
crystal system = trigonal
calculated volume = 178 Å³ per cell

Cell: 9.3915 9.3915 9.3915 Å, 29.50 29.50 29.50°
Sites, in units of the cell vectors:
Cs 0.7528 0.7528 0.7528
Cs 0.2472 0.2472 0.2472
Fe 0.0000 0.0000 0.0000

***

This record from the Open Quantum Materials Database describes an optimized crystal structure of Cs3Fe. The functional is PBE.

## Properties
offset from the most stable computed form = 0 meV/atom
spin magnetization = 2.934 μB per cell
crystal system = cubic
calculated volume = 250 Å³ per cell

Cell: 7.0701 7.0701 7.0701 Å, 60.00 60.00 60.00°
Sites, in units of the cell vectors:
Cs 0.5000 0.5000 0.5000
Cs 0.0000 0.0000 0.0000
Cs 0.2500 0.2500 0.2500
Fe 0.7500 0.7500 0.7500

***

This record from the Open Quantum Materials Database describes an optimized crystal structure of CsFe2. The functional is PBE.

## Properties
final energy = -4.5198 eV per atom
spin magnetization = 9.977 μB per cell
crystal system = cubic
calculated volume = 120 Å³ per cell

Cell: 5.5382 5.5382 5.5382 Å, 60.00 60.00 60.00°
Sites, in units of the cell vectors:
Cs 0.2500 0.2500 0.2500
Cs 0.0000 0.0000 0.0000
Fe 0.6250 0.6250 0.1250
Fe 0.6250 0.1250 0.6250
Fe 0.6250 0.6250 0.6250
Fe 0.1250 0.6250 0.6250